# 1
Computed, not measured: crystalline Mg2Sb at its relaxed geometry at the PBE-GGA level of DFT.

The structure belongs to space group Cm (No. 8); the cell edges are 6.3156, 6.2566 and 7.5162 Å and the angles 90.00°, 98.72° and 90.00°. The asymmetric unit holds Mg at (0.0000, 0.0000, 0.0000), Mg at (0.0708, 0.5000, 0.6731), Mg at (0.2849, 0.2422, 0.3358), Sb at (0.0168, 0.5000, 0.0625) and Sb at (0.0520, 0.0000, 0.6096).

The electronic total energy is -2.676 eV/atom.

---

# 2
Computed, not measured: crystalline Tb4UN4 at its relaxed geometry at the PBE-GGA level of DFT.

The structure belongs to space group I-42m (No. 121); the cell edges are 5.6558, 5.6558 and 11.0147 Å and the angles 90.00°, 90.00° and 90.00°. The asymmetric unit holds Tb at (0.0000, 0.0000, 0.2150), Tb at (0.0000, 0.5000, 0.0000), U at (0.0000, 0.0000, 0.5000) and N at (0.2233, 0.2233, 0.6254).

The polymorph energy (0 for the lowest one) is 537 meV per atom.

---

# 3
Computed, not measured: crystalline Sm2HfScP4 at its relaxed geometry at the PBE-GGA level of DFT.

The structure belongs to space group P2/m (No. 10); the cell edges are 6.7574, 3.9029 and 6.7852 Å and the angles 90.00°, 109.29° and 90.00°. The asymmetric unit holds Sm at (0.0000, 0.0000, 0.0000), Sm at (0.5000, 0.5000, 0.0000), Hf at (0.0000, 0.5000, 0.5000), Sc at (0.5000, 0.0000, 0.5000), P at (0.2399, 0.0000, 0.7257) and P at (0.2552, 0.5000, 0.2736).

The value obtained for the formation energy is -143 kJ per mole of atoms.

---

# 4
Computed, not measured: crystalline Nd2MgSi3Pt12 at its relaxed geometry at the PBE-GGA level of DFT.

The structure belongs to space group R-3m (No. 166, hexagonal axes); the cell edges are 8.3287, 8.3287 and 17.7139 Å and the angles 90.00°, 90.00° and 120.00°. The asymmetric unit holds Nd at (0.0000, 0.0000, 0.1091), Mg at (0.0000, 0.0000, 0.5000), Si at (0.0000, 0.5000, 0.0000), Pt at (0.0072, 0.5036, 0.8693) and Pt at (0.0309, 0.5155, 0.3675).

The electronic total energy is -6.080 eV/atom.

---

# 5
Computed, not measured: crystalline Ca2ErIn at its relaxed geometry at the PBE-GGA level of DFT.

The structure belongs to space group R-3m (No. 166, hexagonal axes); the cell edges are 3.6196, 3.6196 and 37.6023 Å and the angles 90.00°, 90.00° and 120.00°. The asymmetric unit holds Ca at (0.0000, 0.0000, 0.0870), Er at (0.0000, 0.0000, 0.5000) and In at (0.0000, 0.0000, 0.0000).

The value obtained for the formation energy is 13 kJ per mole of atoms. The polymorph energy (0 for the lowest one) is 340 meV per atom.

---

# 6
Computed, not measured: crystalline Li2Ac2SnO6 at its relaxed geometry at the PBE-GGA level of DFT.

The structure belongs to space group R-3m (No. 166, hexagonal axes); the cell edges are 5.8200, 5.8200 and 15.4197 Å and the angles 90.00°, 90.00° and 120.00°. The asymmetric unit holds Li at (0.0000, 0.0000, 0.0712), Ac at (0.0000, 0.0000, 0.2790), Sn at (0.0000, 0.0000, 0.5000) and O at (0.0204, 0.5102, 0.2544).

The electronic total energy is -6.543 eV/atom.

---

The evaluated total magnetization for the records listed, in turn: 0.000; 0.302; 0.000; 0.000; 0.002; 0.000 μB/atom.